# BePtRh2

An optimized crystal structure of BePtRh2 (PBE, Alexandria via LeMat-Bulk).

- N(E_F): 6.16 states/eV/f.u.
- DFT formation energy: -0.16 eV/atom
- Space group: R-3m

a = 8.318 Å, b = 8.318 Å, c = 8.318 Å
α = 18.94°, β = 18.94°, γ = 18.94°
Fractional coordinates of all 4 atoms:
Be 0.000 0.000 0.000
Pt 0.500 0.500 0.500
Rh 0.262 0.262 0.262
Rh 0.738 0.738 0.738


# Ca8Sb5I

An optimized crystal structure of Ca8Sb5I (PBE, Alexandria via LeMat-Bulk).

- Formation energy (no corrections): -1.099 eV/atom
- Space group: I-4

a = 8.280 Å, b = 8.280 Å, c = 8.280 Å
α = 109.46°, β = 109.46°, γ = 109.50°
Fractional coordinates of all 14 atoms:
Ca 0.136 0.225 0.760
Ca 0.145 0.754 0.761
Ca 0.246 0.007 0.391
Ca 0.465 0.376 0.240
Ca 0.616 0.855 0.609
Ca 0.624 0.864 0.089
Ca 0.775 0.535 0.911
Ca 0.993 0.384 0.239
Sb 0.000 0.000 0.000
Sb 0.251 0.633 0.117
Sb 0.367 0.484 0.618
Sb 0.516 0.135 0.883
Sb 0.865 0.749 0.382
I 0.750 0.250 0.500


# NaCdNF2

An optimized crystal structure of NaCdNF2 (PBE, Alexandria via LeMat-Bulk).

- Formation energy (no corrections): -0.409 eV/atom
- N(E_F): 1.33 states/eV/f.u.
- Relative energy among the computed polymorphs: 389 meV per atom
- Space group: P4/mmm

a = 4.076 Å, b = 4.076 Å, c = 4.452 Å
α = 90.00°, β = 90.00°, γ = 90.00°
Fractional coordinates of all 5 atoms:
Na 0.000 0.000 0.000
Cd 0.500 0.500 0.500
N 0.000 0.000 0.500
F 0.000 0.500 0.000
F 0.500 0.000 0.000


# Cu3BRh

An optimized crystal structure of Cu3BRh (PBE, Alexandria via LeMat-Bulk).

- N(E_F): 5.31 states/eV/f.u.
- DFT formation energy: 0.33 eV/atom
- Relative energy among the computed polymorphs: 0 meV per atom
- Space group: Pm-3m

a = 3.919 Å, b = 3.919 Å, c = 3.919 Å
α = 90.00°, β = 90.00°, γ = 90.00°
Fractional coordinates of all 5 atoms:
Cu 0.000 0.000 0.500
Cu 0.000 0.500 0.000
Cu 0.500 0.000 0.000
B 0.000 0.000 0.000
Rh 0.500 0.500 0.500


# NaCdGeF6

An optimized crystal structure of NaCdGeF6 (PBE, Alexandria via LeMat-Bulk).

- Formation energy (no corrections): -2.297 eV/atom
- N(E_F): 1.79 states/eV/f.u.
- Space group: P-31c

a = 5.608 Å, b = 5.608 Å, c = 9.545 Å
α = 90.00°, β = 90.00°, γ = 120.00°
Fractional coordinates of all 18 atoms:
Na 0.333 0.667 0.250
Na 0.667 0.333 0.750
Cd 0.000 0.000 0.000
Cd 0.000 0.000 0.500
Ge 0.333 0.667 0.750
Ge 0.667 0.333 0.250
F 0.048 0.370 0.634
F 0.048 0.678 0.866
F 0.322 0.370 0.866
F 0.322 0.952 0.634
F 0.370 0.048 0.134
F 0.370 0.322 0.366
F 0.630 0.678 0.634
F 0.630 0.952 0.866
F 0.678 0.048 0.366
F 0.678 0.630 0.134
F 0.952 0.322 0.134
F 0.952 0.630 0.366


# CeCuHg2

An optimized crystal structure of CeCuHg2 (PBE, Alexandria via LeMat-Bulk).

- N(E_F): 5.41 states/eV/f.u.
- DFT formation energy: 0.27 eV/atom
- Space group: R-3m

a = 10.864 Å, b = 10.864 Å, c = 10.864 Å
α = 16.71°, β = 16.71°, γ = 16.71°
Fractional coordinates of all 4 atoms:
Ce 0.000 0.000 0.000
Cu 0.500 0.500 0.500
Hg 0.100 0.100 0.100
Hg 0.900 0.900 0.900


# SmGe4Ru

An optimized crystal structure of SmGe4Ru (PBE, Alexandria via LeMat-Bulk).

- N(E_F): 4.28 states/eV/f.u.
- DFT formation energy: -0.32 eV/atom
- Space group: C2/c

a = 6.459 Å, b = 6.459 Å, c = 6.844 Å
α = 93.79°, β = 93.79°, γ = 58.55°
Fractional coordinates of all 12 atoms:
Sm 0.098 0.902 0.750
Sm 0.902 0.098 0.250
Ge 0.130 0.365 0.646
Ge 0.317 0.579 0.090
Ge 0.365 0.130 0.146
Ge 0.421 0.683 0.410
Ge 0.579 0.317 0.590
Ge 0.635 0.870 0.854
Ge 0.683 0.421 0.910
Ge 0.870 0.635 0.354
Ru 0.000 0.500 0.000
Ru 0.500 0.000 0.500


# PuCoOs

An optimized crystal structure of PuCoOs (PBE, Alexandria via LeMat-Bulk).

- N(E_F): 7.76 states/eV/f.u.
- DFT formation energy: -0.13 eV/atom
- Relative energy among the computed polymorphs: 0 meV per atom
- Space group: Imma

a = 5.198 Å, b = 5.198 Å, c = 5.198 Å
α = 120.61°, β = 120.02°, γ = 89.46°
Fractional coordinates of all 6 atoms:
Pu 0.376 0.126 0.250
Pu 0.624 0.874 0.750
Co 0.000 0.000 0.500
Co 0.000 0.500 0.000
Os 0.000 0.500 0.500
Os 0.500 0.500 0.000


# Ca2InGa2Pd5

An optimized crystal structure of Ca2InGa2Pd5 (PBE, Alexandria via LeMat-Bulk).

- N(E_F): 4.60 states/eV/f.u.
- DFT formation energy: -0.72 eV/atom
- Space group: P4/mbm

a = 10.058 Å, b = 10.058 Å, c = 3.681 Å
α = 90.00°, β = 90.00°, γ = 90.00°
Fractional coordinates of all 20 atoms:
Ca 0.176 0.324 0.000
Ca 0.324 0.824 0.000
Ca 0.676 0.176 0.000
Ca 0.824 0.676 0.000
In 0.000 0.000 0.000
In 0.500 0.500 0.000
Ga 0.122 0.622 0.000
Ga 0.378 0.122 0.000
Ga 0.622 0.878 0.000
Ga 0.878 0.378 0.000
Pd 0.000 0.500 0.500
Pd 0.065 0.791 0.500
Pd 0.209 0.065 0.500
Pd 0.291 0.565 0.500
Pd 0.435 0.291 0.500
Pd 0.500 0.000 0.500
Pd 0.565 0.709 0.500
Pd 0.709 0.435 0.500
Pd 0.791 0.935 0.500
Pd 0.935 0.209 0.500


# LaYRe2

An optimized crystal structure of LaYRe2 (PBE, Alexandria via LeMat-Bulk).

- N(E_F): 4.19 states/eV/f.u.
- DFT formation energy: 0.10 eV/atom
- Relative energy among the computed polymorphs: 0 meV per atom
- Space group: P4mm

a = 3.179 Å, b = 3.179 Å, c = 9.279 Å
α = 90.00°, β = 90.00°, γ = 90.00°
Fractional coordinates of all 4 atoms:
La 0.000 0.000 0.000
Y 0.500 0.500 0.615
Re 0.000 0.000 0.390
Re 0.500 0.500 0.242


# SiAsPt

An optimized crystal structure of SiAsPt (PBE, Alexandria via LeMat-Bulk).

- Formation energy (no corrections): -0.208 eV/atom
- N(E_F): 1.09 states/eV/f.u.
- Relative energy among the computed polymorphs: 147 meV per atom
- Space group: P3m1

a = 3.432 Å, b = 3.432 Å, c = 5.041 Å
α = 90.00°, β = 90.00°, γ = 120.00°
Fractional coordinates of all 3 atoms:
Si 0.000 0.000 0.000
As 0.667 0.333 0.373
Pt 0.333 0.667 0.722


# Ho2PuGa

An optimized crystal structure of Ho2PuGa (PBE, Alexandria via LeMat-Bulk).

- N(E_F): 10.02 states/eV/f.u.
- DFT formation energy: -0.15 eV/atom
- Relative energy among the computed polymorphs: 60 meV per atom
- Space group: P4/mmm

a = 4.744 Å, b = 4.744 Å, c = 4.493 Å
α = 90.00°, β = 90.00°, γ = 90.00°
Fractional coordinates of all 4 atoms:
Ho 0.000 0.500 0.000
Ho 0.500 0.000 0.000
Pu 0.000 0.000 0.500
Ga 0.500 0.500 0.500


# Mg3BPt

An optimized crystal structure of Mg3BPt (PBE, Alexandria via LeMat-Bulk).

- N(E_F): 2.44 states/eV/f.u.
- DFT formation energy: 0.10 eV/atom
- Relative energy among the computed polymorphs: 0 meV per atom
- Space group: Pm-3m

a = 4.425 Å, b = 4.425 Å, c = 4.425 Å
α = 90.00°, β = 90.00°, γ = 90.00°
Fractional coordinates of all 5 atoms:
Mg 0.000 0.000 0.500
Mg 0.000 0.500 0.000
Mg 0.500 0.000 0.000
B 0.000 0.000 0.000
Pt 0.500 0.500 0.500


# CdWSe

An optimized crystal structure of CdWSe (PBE, Alexandria via LeMat-Bulk).

- Formation energy (no corrections): 0.094 eV/atom
- N(E_F): 0.77 states/eV/f.u.
- Relative energy among the computed polymorphs: 0 meV per atom
- Space group: P3m1

a = 3.151 Å, b = 3.151 Å, c = 7.062 Å
α = 90.00°, β = 90.00°, γ = 120.00°
Fractional coordinates of all 3 atoms:
Cd 0.000 0.000 0.000
W 0.667 0.333 0.669
Se 0.333 0.667 0.427


# YEr4Th

An optimized crystal structure of YEr4Th (PBE, Alexandria via LeMat-Bulk).

- N(E_F): 8.95 states/eV/f.u.
- DFT formation energy: 0.03 eV/atom
- Relative energy among the computed polymorphs: 0 meV per atom
- Space group: P-1

a = 3.545 Å, b = 6.108 Å, c = 9.322 Å
α = 77.43°, β = 79.13°, γ = 73.29°
Fractional coordinates of all 6 atoms:
Y 0.000 0.000 0.000
Er 0.333 0.505 0.829
Er 0.334 0.994 0.338
Er 0.666 0.006 0.662
Er 0.667 0.495 0.171
Th 0.000 0.500 0.500


# CeNd15Tm4

An optimized crystal structure of CeNd15Tm4 (PBE, Alexandria via LeMat-Bulk).

- N(E_F): 31.76 states/eV/f.u.
- DFT formation energy: 0.03 eV/atom
- Space group: P4/mmm

a = 5.149 Å, b = 5.149 Å, c = 25.666 Å
α = 90.00°, β = 90.00°, γ = 90.00°
Fractional coordinates of all 20 atoms:
Ce 0.000 0.000 0.000
Nd 0.000 0.500 0.100
Nd 0.000 0.500 0.300
Nd 0.000 0.500 0.500
Nd 0.000 0.500 0.700
Nd 0.000 0.500 0.900
Nd 0.500 0.000 0.100
Nd 0.500 0.000 0.300
Nd 0.500 0.000 0.500
Nd 0.500 0.000 0.700
Nd 0.500 0.000 0.900
Nd 0.500 0.500 0.000
Nd 0.500 0.500 0.202
Nd 0.500 0.500 0.400
Nd 0.500 0.500 0.600
Nd 0.500 0.500 0.798
Tm 0.000 0.000 0.200
Tm 0.000 0.000 0.400
Tm 0.000 0.000 0.600
Tm 0.000 0.000 0.800


# CsOF2

An optimized crystal structure of CsOF2 (PBE, Alexandria via LeMat-Bulk).

- Formation energy (no corrections): -1.020 eV/atom
- N(E_F): 10.46 states/eV/f.u.
- Relative energy among the computed polymorphs: 0 meV per atom
- Space group: R-3m

a = 6.520 Å, b = 6.520 Å, c = 6.520 Å
α = 41.71°, β = 41.71°, γ = 41.71°
Fractional coordinates of all 4 atoms:
Cs 0.000 0.000 0.000
O 0.500 0.500 0.500
F 0.404 0.404 0.404
F 0.596 0.596 0.596


# PuPaTiNb

An optimized crystal structure of PuPaTiNb (PBE, Alexandria via LeMat-Bulk).

- N(E_F): 6.72 states/eV/f.u.
- DFT formation energy: 0.27 eV/atom
- Space group: F-43m

a = 4.949 Å, b = 4.949 Å, c = 4.949 Å
α = 60.00°, β = 60.00°, γ = 60.00°
Fractional coordinates of all 4 atoms:
Pu 0.000 0.000 0.000
Pa 0.500 0.500 0.500
Ti 0.750 0.750 0.750
Nb 0.250 0.250 0.250


# Pm5PrY5

An optimized crystal structure of Pm5PrY5 (PBE, Alexandria via LeMat-Bulk).

- N(E_F): 18.97 states/eV/f.u.
- DFT formation energy: 0.30 eV/atom
- Relative energy among the computed polymorphs: 0 meV per atom
- Space group: P-6m2

a = 6.204 Å, b = 6.204 Å, c = 11.512 Å
α = 90.00°, β = 90.00°, γ = 120.00°
Fractional coordinates of all 11 atoms:
Pm 0.000 0.000 0.235
Pm 0.000 0.000 0.765
Pm 0.341 0.170 0.000
Pm 0.830 0.170 0.000
Pm 0.830 0.659 0.000
Pr 0.333 0.667 0.500
Y 0.000 0.000 0.500
Y 0.333 0.667 0.172
Y 0.333 0.667 0.828
Y 0.667 0.333 0.338
Y 0.667 0.333 0.662


# ErTmNiRu

An optimized crystal structure of ErTmNiRu (PBE, Alexandria via LeMat-Bulk).

- N(E_F): 2.25 states/eV/f.u.
- DFT formation energy: -0.46 eV/atom
- Relative energy among the computed polymorphs: 20 meV per atom
- Space group: F-43m

a = 4.739 Å, b = 4.739 Å, c = 4.739 Å
α = 60.00°, β = 60.00°, γ = 60.00°
Fractional coordinates of all 4 atoms:
Er 0.000 0.000 0.000
Tm 0.500 0.500 0.500
Ni 0.750 0.750 0.750
Ru 0.250 0.250 0.250